Entry from the Alexandria database: TbCr2AgO8 after structural relaxation (PBE+U).

Output
Density: 4.9 Mg/m³
Space-group type: I-4m2
DFT total energy: -81.112 eV for the cell shown
V: 168 Å³ per cell

a = 6.0379 Å, b = 6.0379 Å, c = 6.0379 Å
α = 106.11°, β = 106.11°, γ = 116.43°
Element x y z (fractional)
Tb1 0.0000 0.0000 0.0000
Cr1 0.5000 0.5000 0.0000
Cr2 0.7500 0.2500 0.5000
Ag1 0.2500 0.7500 0.5000
O1 0.3314 0.1539 0.8225
O2 0.3314 0.5089 0.1775
O3 0.4116 0.1009 0.3107
O4 0.4911 0.6686 0.8225
O5 0.7902 0.1009 0.6893
O6 0.8461 0.6686 0.1775
O7 0.8991 0.2098 0.3107
O8 0.8991 0.5884 0.6893